Entry 1:
A relaxed structure of HoSc4Te2. Source: Alexandria via LeMat-Bulk, functional GGA-PBE.

abc: 6.008 8.012 7.770
angles: 113.26 90.00 90.00
Fractional positions:
Ho 0.250 0.853 0.017
Ho 0.750 0.147 0.983
Sc 0.501 0.400 0.766
Sc 0.250 0.237 0.368
Sc 0.750 0.763 0.632
Sc 0.999 0.400 0.766
Sc 0.750 0.009 0.413
Sc 0.001 0.600 0.234
Sc 0.499 0.600 0.234
Sc 0.250 0.991 0.587
Te 0.250 0.242 0.000
Te 0.750 0.758 0.000
Te 0.750 0.366 0.406
Te 0.250 0.634 0.594

Properties
- DOS at the Fermi energy: 7.2 states/eV/f.u.
- Symmetry: P2_1/m
- Formation energy (no corrections): -0.67 eV/atom

---

Entry 2:
A relaxed structure of TaSbP2. Source: Alexandria via LeMat-Bulk, functional GGA-PBE.

abc: 7.364 7.364 7.364
angles: 27.01 27.01 27.01
Fractional positions:
P 0.996 0.996 0.996
P 0.258 0.258 0.258
Sb 0.506 0.506 0.506
Ta 0.739 0.739 0.739

Properties
- DOS at the Fermi energy: 2.4 states/eV/f.u.
- Symmetry: R3m
- Formation energy (no corrections): 0.18 eV/atom

---

Entry 3:
A relaxed structure of Sm5Ho. Source: Alexandria via LeMat-Bulk, functional GGA-PBE.

abc: 5.103 5.103 8.079
angles: 108.41 90.00 90.00
Fractional positions:
Ho 0.000 0.000 0.000
Sm 0.000 0.666 0.332
Sm 0.000 0.334 0.668
Sm 0.500 0.500 0.000
Sm 0.500 0.166 0.333
Sm 0.500 0.834 0.667

Properties
- DOS at the Fermi energy: 8.5 states/eV/f.u.
- Energy of formation from the pure elements: 2 kJ/mol of atoms
- Symmetry: Cmmm

---

Entry 4:
A relaxed structure of PrTmInPb. Source: Alexandria via LeMat-Bulk, functional GGA-PBE.

abc: 5.019 5.019 5.737
angles: 115.94 115.94 90.00
Fractional positions:
Pr 0.750 0.250 0.500
Tm 0.250 0.750 0.500
In 0.000 0.000 0.000
Pb 0.500 0.500 0.000

Properties
- DOS at the Fermi energy: 3.4 states/eV/f.u.
- Energy relative to the lowest polymorph listed for this composition: 0.000 eV/atom
- Energy of formation from the pure elements: -43 kJ/mol of atoms
- Symmetry: I-4m2

---

Entry 5:
A relaxed structure of La7SmHo4. Source: Alexandria via LeMat-Bulk, functional GGA-PBE.

abc: 7.372 6.419 11.691
angles: 79.51 50.95 89.98
Fractional positions:
La 0.743 0.499 0.004
La 0.257 0.501 0.996
La 0.085 0.281 0.665
La 0.915 0.719 0.335
La 0.333 0.778 0.666
La 0.500 0.000 0.000
La 0.667 0.222 0.334
Sm 0.000 0.000 0.000
Ho 0.412 0.724 0.332
Ho 0.588 0.276 0.668
Ho 0.836 0.781 0.664
Ho 0.164 0.219 0.336

Properties
- DOS at the Fermi energy: 18.7 states/eV/f.u.
- Energy relative to the lowest polymorph listed for this composition: 0.000 eV/atom
- Energy of formation from the pure elements: 1 kJ/mol of atoms
- Symmetry: P-1

---

Entry 6:
A relaxed structure of K3Os. Source: Alexandria via LeMat-Bulk, functional GGA-PBE.

abc: 7.759 7.759 5.771
angles: 90.00 90.00 120.00
Last column: magnetic moment on the atom in μB.
Fractional positions:
K 0.817 0.633 0.250  -0.01
K 0.367 0.183 0.250  -0.01
K 0.817 0.183 0.250  -0.01
K 0.183 0.367 0.750  -0.01
K 0.633 0.817 0.750  -0.01
K 0.183 0.817 0.750  -0.01
Os 0.333 0.667 0.250  1.85
Os 0.667 0.333 0.750  1.85

Properties
- DOS at the Fermi energy: 6.5 states/eV/f.u.
- Energy relative to the lowest polymorph listed for this composition: 0.093 eV/atom
- Energy of formation from the pure elements: 128 kJ/mol of atoms
- Symmetry: P6_3/mmc